# 1
KAuI4 after structural relaxation. Source: Alexandria via LeMat-Bulk, functional GGA-PBE.

The structure in CIF format:
```
data_KAuI4
_cell_length_a 14.2950
_cell_length_b 7.3857
_cell_length_c 11.8085
_cell_angle_alpha 90.00
_cell_angle_beta 90.80
_cell_angle_gamma 90.00
_space_group_name_H-M_alt 'C 1 2/c 1'
_space_group_IT_number 15
loop_
_space_group_symop_operation_xyz
'x,y,z'
'-x,-y,-z'
'-x,y,-z+1/2'
'x,-y,z+1/2'
'x+1/2,y+1/2,z'
'-x+1/2,-y+1/2,-z'
'-x+1/2,y+1/2,-z+1/2'
'x+1/2,-y+1/2,z+1/2'
loop_
_atom_site_label
_atom_site_fract_x
_atom_site_fract_y
_atom_site_fract_z
K1 0.2500 0.2500 0.0000
Au1 0.0000 0.0445 0.2500
I1 0.0065 0.3519 0.0770
I2 0.1801 0.0032 0.7452
```

Properties
The total energy comes out at -54.33 eV for the cell shown. The value obtained for the magnetization is 0.00 μB per formula unit. As for the crystal system: monoclinic.

=====

# 2
K2AuI3 after structural relaxation. Source: Alexandria via LeMat-Bulk, functional GGA-PBE.

The structure in CIF format:
```
data_K2AuI3
_cell_length_a 14.2089
_cell_length_b 8.2156
_cell_length_c 9.2042
_cell_angle_alpha 90.00
_cell_angle_beta 90.00
_cell_angle_gamma 90.00
_space_group_name_H-M_alt 'C m c m'
_space_group_IT_number 63
_space_group_name_Hall '-C 2c 2'
loop_
_atom_site_label
_atom_site_fract_x
_atom_site_fract_y
_atom_site_fract_z
K1 0.1671 0.0000 0.0000
Au1 0.0000 0.4981 0.2500
I1 0.0000 0.1653 0.2500
I2 0.1664 0.3333 0.7500
```

Properties
The total energy comes out at -63.54 eV for the cell shown. The value obtained for the magnetization is 0.00 μB per formula unit. As for the crystal system: orthorhombic.

=====

# 3
KAuI6 after structural relaxation. Source: Alexandria via LeMat-Bulk, functional GGA-PBE.

The structure in CIF format:
```
data_KAuI6
_cell_length_a 5.1522
_cell_length_b 9.3019
_cell_length_c 9.5954
_cell_angle_alpha 65.49
_cell_angle_beta 83.27
_cell_angle_gamma 79.62
_space_group_name_H-M_alt 'P -1'
_space_group_IT_number 2
loop_
_space_group_symop_operation_xyz
'x,y,z'
'-x,-y,-z'
loop_
_atom_site_label
_atom_site_fract_x
_atom_site_fract_y
_atom_site_fract_z
K1 0.0000 0.0000 0.0000
Au1 0.0000 0.0000 0.5000
I1 0.2325 0.2507 0.3774
I2 0.3403 0.2693 0.6737
I3 0.4170 0.2867 0.9608
```

Properties
For the offset from the most stable computed form, the calculation gives 0.027 eV/atom. The total energy comes out at -16.68 eV for the cell shown. The value obtained for the magnetization is 0.00 μB per formula unit. As for the crystal system: triclinic.

=====

# 4
KAu2I4 after structural relaxation. Source: Alexandria via LeMat-Bulk, functional GGA-PBE.

The structure in CIF format:
```
data_KAu2I4
_cell_length_a 8.6736
_cell_length_b 8.6736
_cell_length_c 7.8055
_cell_angle_alpha 90.00
_cell_angle_beta 90.00
_cell_angle_gamma 90.00
_space_group_name_H-M_alt 'I 4/m'
_space_group_IT_number 87
_space_group_name_Hall '-I 4'
loop_
_atom_site_label
_atom_site_fract_x
_atom_site_fract_y
_atom_site_fract_z
K1 0.0000 0.0000 0.0000
Au1 0.0000 0.5000 0.2500
I1 0.1310 0.3093 0.5000
```

Properties
For the offset from the most stable computed form, the calculation gives 0.072 eV/atom. The total energy comes out at -32.48 eV for the cell shown. The value obtained for the magnetization is 0.00 μB per formula unit. As for the crystal system: tetragonal.

=====

# 5
KAuI5 after structural relaxation. Source: Alexandria via LeMat-Bulk, functional GGA-PBE.

The structure in CIF format:
```
data_KAuI5
_cell_length_a 13.2307
_cell_length_b 12.3271
_cell_length_c 11.5271
_cell_angle_alpha 90.00
_cell_angle_beta 120.61
_cell_angle_gamma 90.00
_space_group_name_H-M_alt 'C 1 2/c 1'
_space_group_IT_number 15
loop_
_space_group_symop_operation_xyz
'x,y,z'
'-x,-y,-z'
'-x,y,-z+1/2'
'x,-y,z+1/2'
'x+1/2,y+1/2,z'
'-x+1/2,-y+1/2,-z'
'-x+1/2,y+1/2,-z+1/2'
'x+1/2,-y+1/2,z+1/2'
loop_
_atom_site_label
_atom_site_fract_x
_atom_site_fract_y
_atom_site_fract_z
K1 0.0000 0.2463 0.2500
Au1 0.0000 0.5000 0.0000
I1 0.0000 0.4751 0.7500
I2 0.0471 0.1060 0.0206
I3 0.1694 0.3528 0.1096
```

Properties
For the offset from the most stable computed form, the calculation gives 0.000 eV/atom. The total energy comes out at -59.89 eV for the cell shown. The value obtained for the magnetization is 0.00 μB per formula unit. As for the crystal system: monoclinic.

=====

# 6
K5Au2I2 after structural relaxation. Source: Alexandria via LeMat-Bulk, functional GGA-PBE.

The structure in CIF format:
```
data_K5Au2I2
_cell_length_a 17.6827
_cell_length_b 9.0149
_cell_length_c 9.0331
_cell_angle_alpha 90.00
_cell_angle_beta 90.00
_cell_angle_gamma 90.00
_space_group_name_H-M_alt 'C m c e'
_space_group_IT_number 64
_space_group_name_Hall '-C 2ac 2'
loop_
_atom_site_label
_atom_site_fract_x
_atom_site_fract_y
_atom_site_fract_z
K1 0.0000 0.0000 0.0000
K2 0.1279 0.1708 0.3305
Au1 0.0000 0.1150 0.6154
I1 0.2058 0.0000 0.0000
```

Properties
The total energy comes out at -88.70 eV for the cell shown. The value obtained for the magnetization is 0.00 μB per formula unit. As for the crystal system: orthorhombic.

=====

# 7
KAu3I after structural relaxation. Source: Alexandria via LeMat-Bulk, functional GGA-PBE.

The structure in CIF format:
```
data_KAu3I
_cell_length_a 5.6809
_cell_length_b 5.6809
_cell_length_c 5.6809
_cell_angle_alpha 90.00
_cell_angle_beta 90.00
_cell_angle_gamma 90.00
_space_group_name_H-M_alt 'P m -3 m'
_space_group_IT_number 221
_space_group_name_Hall '-P 4 2 3'
loop_
_atom_site_label
_atom_site_fract_x
_atom_site_fract_y
_atom_site_fract_z
K1 0.0000 0.0000 0.0000
Au1 0.0000 0.0000 0.5000
I1 0.5000 0.5000 0.5000
```

Properties
For the offset from the most stable computed form, the calculation gives 0.768 eV/atom. The total energy comes out at -7.13 eV for the cell shown. The value obtained for the magnetization is 0.00 μB per formula unit. As for the crystal system: cubic.

=====

# 8
K2MgAuI6 after structural relaxation. Source: Alexandria via LeMat-Bulk, functional GGA-PBE.

The structure in CIF format:
```
data_K2MgAuI6
_cell_length_a 8.5765
_cell_length_b 8.3206
_cell_length_c 13.6045
_cell_angle_alpha 90.00
_cell_angle_beta 125.57
_cell_angle_gamma 90.00
_space_group_name_H-M_alt 'P 1 21/c 1'
_space_group_IT_number 14
loop_
_space_group_symop_operation_xyz
'x,y,z'
'-x,-y,-z'
'-x,y+1/2,-z+1/2'
'x,-y+1/2,z+1/2'
loop_
_atom_site_label
_atom_site_fract_x
_atom_site_fract_y
_atom_site_fract_z
K1 0.2226 0.0649 0.2409
Mg1 0.0000 0.0000 0.5000
Au1 0.5000 0.0000 0.0000
I1 0.1327 0.2350 0.9510
I2 0.2628 0.7179 0.9518
I3 0.3647 0.0285 0.7606
```

Properties
The total energy comes out at -49.43 eV for the cell shown. The value obtained for the magnetization is 0.01 μB per formula unit. As for the crystal system: monoclinic.

=====

# 9
KMn2AuI after structural relaxation. Source: Alexandria via LeMat-Bulk, functional GGA-PBE.

The structure in CIF format:
```
data_KMn2AuI
_cell_length_a 6.3736
_cell_length_b 6.3736
_cell_length_c 6.0020
_cell_angle_alpha 90.00
_cell_angle_beta 90.00
_cell_angle_gamma 90.00
_space_group_name_H-M_alt 'P 4/m m m'
_space_group_IT_number 123
_space_group_name_Hall '-P 4 2'
loop_
_atom_site_label
_atom_site_fract_x
_atom_site_fract_y
_atom_site_fract_z
K1 0.0000 0.0000 0.0000
Mn1 0.0000 0.5000 0.0000
Au1 0.5000 0.5000 0.5000
I1 0.0000 0.0000 0.5000
```

Properties
The total energy comes out at -16.87 eV for the cell shown. The value obtained for the magnetization is 10.59 μB per formula unit. As for the crystal system: tetragonal.

=====

# 10
K2NaAu2I6 after structural relaxation. Source: Alexandria via LeMat-Bulk, functional GGA-PBE.

The structure in CIF format:
```
data_K2NaAu2I6
_cell_length_a 15.5916
_cell_length_b 7.8165
_cell_length_c 9.0638
_cell_angle_alpha 90.00
_cell_angle_beta 121.48
_cell_angle_gamma 90.00
_space_group_name_H-M_alt 'C 1 2/m 1'
_space_group_IT_number 12
loop_
_space_group_symop_operation_xyz
'x,y,z'
'-x,-y,-z'
'-x,y,-z'
'x,-y,z'
'x+1/2,y+1/2,z'
'-x+1/2,-y+1/2,-z'
'-x+1/2,y+1/2,-z'
'x+1/2,-y+1/2,z'
loop_
_atom_site_label
_atom_site_fract_x
_atom_site_fract_y
_atom_site_fract_z
K1 0.2390 0.0000 0.2276
Na1 0.0000 0.0000 0.5000
Au1 0.0541 0.5000 0.2385
I1 0.0770 0.2404 0.8238
I2 0.2490 0.0000 0.6282
```

Properties
The total energy comes out at -54.55 eV for the cell shown. The value obtained for the magnetization is 0.00 μB per formula unit. As for the crystal system: monoclinic.

=====

# 11
KNaAuI3 after structural relaxation. Source: Alexandria via LeMat-Bulk, functional GGA-PBE.

The structure in CIF format:
```
data_KNaAuI3
_cell_length_a 19.5113
_cell_length_b 8.4038
_cell_length_c 6.8908
_cell_angle_alpha 90.00
_cell_angle_beta 92.95
_cell_angle_gamma 90.00
_space_group_name_H-M_alt 'C 1 2/m 1'
_space_group_IT_number 12
loop_
_space_group_symop_operation_xyz
'x,y,z'
'-x,-y,-z'
'-x,y,-z'
'x,-y,z'
'x+1/2,y+1/2,z'
'-x+1/2,-y+1/2,-z'
'-x+1/2,y+1/2,-z'
'x+1/2,-y+1/2,z'
loop_
_atom_site_label
_atom_site_fract_x
_atom_site_fract_y
_atom_site_fract_z
K1 0.2331 0.0000 0.2490
Na1 0.0572 0.0000 0.7019
Au1 0.0000 0.2523 0.0000
I1 0.0819 0.2494 0.3063
I2 0.2123 0.0000 0.7494
```

Properties
The total energy comes out at -61.67 eV for the cell shown. The value obtained for the magnetization is 0.00 μB per formula unit. As for the crystal system: monoclinic.

=====

# 12
K2NiAuI6 after structural relaxation. Source: Alexandria via LeMat-Bulk, functional GGA-PBE.

The structure in CIF format:
```
data_K2NiAuI6
_cell_length_a 8.5003
_cell_length_b 8.2459
_cell_length_c 13.6479
_cell_angle_alpha 90.00
_cell_angle_beta 128.32
_cell_angle_gamma 90.00
_space_group_name_H-M_alt 'P 1 21/c 1'
_space_group_IT_number 14
loop_
_space_group_symop_operation_xyz
'x,y,z'
'-x,-y,-z'
'-x,y+1/2,-z+1/2'
'x,-y+1/2,z+1/2'
loop_
_atom_site_label
_atom_site_fract_x
_atom_site_fract_y
_atom_site_fract_z
K1 0.2494 0.0283 0.2514
Ni1 0.0000 0.0000 0.5000
Au1 0.5000 0.0000 0.0000
I1 0.1398 0.2315 0.4508
I2 0.2584 0.7473 0.4640
I3 0.3094 0.0428 0.7344
```

Properties
The total energy comes out at -52.87 eV for the cell shown. The value obtained for the magnetization is 0.28 μB per formula unit. As for the crystal system: monoclinic.

=====

no.,formation energy from raw total energies (meV/atom)
1,-501
2,-960
3,-375
4,-341
5,-407
6,-781
7,1070
8,-835
9,1478
10,-719
11,-845
12,-588